Computed, not measured: crystalline AcTbPr2Tl2 at its relaxed geometry at the PBE-GGA level of DFT.

Structure (POSCAR):
```
AcTbPr2Tl2
1.0
4.926 0.000 0.000
0.000 8.625 0.000
0.000 0.000 9.673
Ac Tl Pr Tb
2 4 4 2
direct
0.000 0.482 0.583
0.000 0.982 0.417
0.000 0.742 0.129
0.000 0.242 0.871
0.500 0.272 0.377
0.500 0.772 0.623
0.000 0.367 0.174
0.000 0.867 0.826
0.500 0.035 0.080
0.500 0.535 0.920
0.500 0.647 0.313
0.500 0.147 0.687
```

Properties
* E_form: -0.255 eV per atom

=====

Computed, not measured: crystalline AcTb2PrTl4 at its relaxed geometry at the PBE-GGA level of DFT.

Structure (POSCAR):
```
AcTb2PrTl4
1.0
-4.853 2.539 -0.936
-3.560 -2.093 -3.718
-6.681 -4.853 4.977
Tl Tb Pr Ac
4 2 1 1
direct
0.127 0.127 0.619
0.622 0.622 0.133
0.873 0.873 0.381
0.378 0.378 0.867
0.249 0.249 0.252
0.751 0.751 0.748
0.500 0.500 0.500
0.000 0.000 0.000
```

Properties
* E_form: -0.341 eV per atom

=====

M_tot for every record listed, in sequence, given in μB/f.u.: 1.95, 0.00.
Calculated volume for every record listed, in sequence, given in A^3/atom: 34.252, 30.388.